1.
Density functional theory data (PBE) for a relaxed YSb2Cl crystal.

Structure (POSCAR):
```
YSb2Cl
1.0
1.7823 1.0290 9.7431
-1.7823 1.0290 9.7431
0.0000 -2.0580 9.7431
Y Sb Cl
1 2 1
Direct
0.0000 0.0000 0.0000
0.2484 0.2484 0.2484
0.7516 0.7516 0.7516
0.5000 0.5000 0.5000
```

Summary:
ΔE_f (raw) ... -0.2714 eV/atom
Energy above the lowest structure with this stoichiometry ... 0.589 eV/atom
Spin magnetization ... 0.0 μB per formula unit

2.
Density functional theory data (PBE) for a relaxed Ce2Pt6Rh crystal.

Structure (POSCAR):
```
Ce2Pt6Rh
1.0
6.3140 -2.0522 0.0000
6.3140 2.0522 0.0000
-2.1196 0.0000 6.1990
Ce Pt Rh
2 6 1
Direct
0.0578 0.0578 0.3116
0.9422 0.9422 0.6884
0.1741 0.1741 0.0067
0.2771 0.2771 0.6644
0.3897 0.3897 0.3275
0.6103 0.6103 0.6725
0.7229 0.7229 0.3356
0.8259 0.8259 0.9933
0.5000 0.5000 0.0000
```

Summary:
Energy of formation ... -696 meV per atom
Spin magnetization ... 0.0 μB per formula unit

3.
Density functional theory data (PBE) for a relaxed LaAlAsSe2 crystal.

Structure (POSCAR):
```
LaAlAsSe2
1.0
5.7585 0.0000 0.0000
0.0000 5.7585 0.0000
0.0000 0.0000 5.8432
La Al As Se
1 1 1 2
Direct
0.0000 0.0000 0.0000
0.5000 0.5000 0.5000
0.0000 0.0000 0.5000
0.0000 0.5000 0.0000
0.5000 0.0000 0.0000
```

Summary:
ΔE_f (raw) ... 0.0489 eV/atom
Energy above the lowest structure with this stoichiometry ... 0.858 eV/atom
Spin magnetization ... 1.5 μB per formula unit

4.
Density functional theory data (PBE) for a relaxed ZrF crystal.

Structure (POSCAR):
```
ZrF
1.0
9.4921 0.0000 0.0000
0.0000 9.4921 0.0000
0.0000 0.0000 3.1659
Zr F
8 8
Direct
0.0148 0.3181 0.0000
0.2298 0.5688 0.5000
0.3181 0.9852 0.0000
0.4312 0.2298 0.5000
0.5688 0.7702 0.5000
0.6819 0.0148 0.0000
0.7702 0.4312 0.5000
0.9852 0.6819 0.0000
0.1302 0.8565 0.0000
0.1435 0.1302 0.0000
0.2227 0.3371 0.5000
0.3371 0.7773 0.5000
0.6629 0.2227 0.5000
0.7773 0.6629 0.5000
0.8565 0.8698 0.0000
0.8698 0.1435 0.0000
```

Summary:
ΔE_f (raw) ... -1.8700 eV/atom
Energy above the lowest structure with this stoichiometry ... 0.389 eV/atom
Spin magnetization ... 0.0 μB per formula unit

5.
Density functional theory data (PBE) for a relaxed FeCo2As crystal.

Structure (POSCAR):
```
FeCo2As
1.0
-1.9035 1.9035 3.2649
1.9035 -1.9035 3.2649
1.9035 1.9035 -3.2649
Fe Co As
1 2 1
Direct
0.0000 0.0000 0.0000
0.2500 0.7500 0.5000
0.7500 0.2500 0.5000
0.5000 0.5000 0.0000
```

Summary:
Energy of formation ... -32 meV per atom
Spin magnetization ... 5.0 μB per formula unit

6.
Density functional theory data (PBE) for a relaxed Pr5Er2Sn5 crystal.

Structure (POSCAR):
```
Pr5Er2Sn5
1.0
7.5354 -2.2416 0.0000
7.5354 2.2416 0.0000
-4.5224 0.0000 12.0556
Pr Er Sn
5 2 5
Direct
0.0000 0.0000 0.0000
0.1610 0.1610 0.5409
0.2267 0.2267 0.8431
0.7733 0.7733 0.1569
0.8390 0.8390 0.4591
0.4502 0.4502 0.7117
0.5498 0.5498 0.2883
0.1889 0.1889 0.2909
0.3850 0.3850 0.0759
0.5000 0.5000 0.5000
0.6150 0.6150 0.9241
0.8111 0.8111 0.7091
```

Summary:
Energy of formation ... -548 meV per atom
Spin magnetization ... 0.3 μB per formula unit

7.
Density functional theory data (PBE) for a relaxed AlV3Fe crystal.

Structure (POSCAR):
```
AlV3Fe
1.0
4.6335 -5.2066 0.0000
4.6335 5.2066 0.0000
-0.4951 0.0000 5.9842
Al V Fe
4 12 4
Direct
0.0607 0.6705 0.8772
0.3295 0.9393 0.6228
0.6705 0.0607 0.3772
0.9393 0.3295 0.1228
0.1427 0.2593 0.7560
0.1596 0.5442 0.4538
0.2593 0.1427 0.2560
0.3187 0.4644 0.0890
0.4558 0.8404 0.0462
0.4644 0.3187 0.5890
0.5356 0.6813 0.4110
0.5442 0.1596 0.9538
0.6813 0.5356 0.9110
0.7407 0.8573 0.7440
0.8404 0.4558 0.5462
0.8573 0.7407 0.2440
0.1813 0.8187 0.2500
0.3844 0.6156 0.7500
0.6156 0.3844 0.2500
0.8187 0.1813 0.7500
```

Summary:
Energy above the lowest structure with this stoichiometry ... 0.000 eV/atom
Energy of formation ... 172 meV per atom
Spin magnetization ... 0.0 μB per formula unit

8.
Density functional theory data (PBE) for a relaxed NiSb2Os crystal.

Structure (POSCAR):
```
NiSb2Os
1.0
-1.9581 1.9581 4.6695
1.9581 -1.9581 4.6695
1.9581 1.9581 -4.6695
Ni Sb Os
1 2 1
Direct
0.0000 0.0000 0.0000
0.5000 0.5000 0.0000
0.7500 0.2500 0.5000
0.2500 0.7500 0.5000
```

Summary:
ΔE_f (raw) ... 0.5581 eV/atom
Energy above the lowest structure with this stoichiometry ... 0.371 eV/atom
Spin magnetization ... 0.0 μB per formula unit

9.
Density functional theory data (PBE) for a relaxed La6NiSn2 crystal.

Structure (POSCAR):
```
La6NiSn2
1.0
7.3435 0.0000 0.0000
0.0000 7.3435 0.0000
0.0000 0.0000 10.3956
La Ni Sn
12 2 4
Direct
0.0000 0.0000 0.2421
0.0000 0.0000 0.7579
0.2419 0.2438 0.0000
0.2438 0.7581 0.0000
0.2562 0.2581 0.5000
0.2581 0.7438 0.5000
0.5000 0.5000 0.2579
0.5000 0.5000 0.7421
0.7419 0.2562 0.5000
0.7438 0.7419 0.5000
0.7562 0.2419 0.0000
0.7581 0.7562 0.0000
0.0000 0.0000 0.5000
0.5000 0.5000 0.0000
0.0000 0.5000 0.2500
0.0000 0.5000 0.7500
0.5000 0.0000 0.2500
0.5000 0.0000 0.7500
```

Summary:
Energy above the lowest structure with this stoichiometry ... 0.042 eV/atom
Energy of formation ... -446 meV per atom
Spin magnetization ... 0.0 μB per formula unit

10.
Density functional theory data (PBE) for a relaxed Mg4AgMo crystal.

Structure (POSCAR):
```
Mg4AgMo
1.0
0.0000 3.9422 3.9422
3.9422 0.0000 3.9422
3.9422 3.9422 0.0000
Mg Ag Mo
4 1 1
Direct
0.1248 0.1248 0.1248
0.1248 0.1248 0.6256
0.1248 0.6256 0.1248
0.6256 0.1248 0.1248
0.5000 0.5000 0.5000
0.7500 0.7500 0.7500
```

Summary:
Energy of formation ... 536 meV per atom
Spin magnetization ... 3.4 μB per formula unit

11.
Density functional theory data (PBE) for a relaxed Ba3TlCd2 crystal.

Structure (POSCAR):
```
Ba3TlCd2
1.0
4.2764 0.0000 0.0000
0.0000 4.2764 0.0000
0.0000 0.0000 12.7678
Ba Tl Cd
3 1 2
Direct
0.0000 0.0000 0.0000
0.0000 0.0000 0.3335
0.0000 0.0000 0.6665
0.5000 0.5000 0.5000
0.5000 0.5000 0.1671
0.5000 0.5000 0.8329
```

Summary:
Energy of formation ... -354 meV per atom
Spin magnetization ... 0.0 μB per formula unit

12.
Density functional theory data (PBE) for a relaxed TbTm2IrO8 crystal.

Structure (POSCAR):
```
TbTm2IrO8
1.0
4.9907 0.0000 0.0000
0.0000 6.7309 0.0000
-0.0318 0.0000 5.0000
Tb Tm Ir O
1 2 1 8
Direct
0.0000 0.0000 0.0000
0.5000 0.2477 0.5000
0.5000 0.7523 0.5000
0.0000 0.5000 0.0000
0.1873 0.2898 0.8142
0.1873 0.7102 0.8142
0.2715 0.5000 0.2726
0.3103 0.0000 0.3116
0.6897 0.0000 0.6884
0.7285 0.5000 0.7274
0.8127 0.2898 0.1858
0.8127 0.7102 0.1858
```

Summary:
ΔE_f (raw) ... -2.3937 eV/atom
Spin magnetization ... 1.6 μB per formula unit

13.
Density functional theory data (PBE) for a relaxed NaTeIr2 crystal.

Structure (POSCAR):
```
NaTeIr2
1.0
-3.8198 3.8198 2.8081
3.8198 -3.8198 2.8081
3.8198 3.8198 -2.8081
Na Te Ir
2 2 4
Direct
0.0000 0.0000 0.0000
0.7500 0.2500 0.5000
0.2500 0.7500 0.5000
0.5000 0.5000 0.0000
0.1763 0.6250 0.0513
0.3750 0.4263 0.5513
0.5737 0.1250 0.9487
0.8750 0.8237 0.4487
```

Summary:
ΔE_f (raw) ... 0.6198 eV/atom
Spin magnetization ... 0.0 μB per formula unit

14.
Density functional theory data (PBE) for a relaxed TlSn2Bi2Pd7 crystal.

Structure (POSCAR):
```
TlSn2Bi2Pd7
1.0
2.8187 -2.8395 0.0000
2.8187 2.8395 0.0000
-1.5356 0.0000 16.0684
Tl Sn Bi Pd
1 2 2 7
Direct
0.0000 0.0000 0.0000
0.1320 0.1320 0.4181
0.8680 0.8680 0.5819
0.4303 0.4303 0.7509
0.5697 0.5697 0.2491
0.0377 0.5372 0.1328
0.3756 0.3756 0.5765
0.4628 0.9623 0.8672
0.5000 0.5000 0.0000
0.5372 0.0377 0.1328
0.6244 0.6244 0.4235
0.9623 0.4628 0.8672
```

Summary:
Energy of formation ... -226 meV per atom
Spin magnetization ... 0.0 μB per formula unit

15.
Density functional theory data (PBE) for a relaxed P2IrSe crystal.

Structure (POSCAR):
```
P2IrSe
1.0
3.8607 -1.8209 0.0000
3.8607 1.8209 0.0000
-2.9320 0.0000 5.7074
P Ir Se
2 1 1
Direct
0.0000 0.0000 0.0000
0.0874 0.0874 0.7175
0.7023 0.7023 0.0124
0.7681 0.7681 0.4286
```

Summary:
ΔE_f (raw) ... 0.0076 eV/atom
Spin magnetization ... 0.0 μB per formula unit

16.
Density functional theory data (PBE) for a relaxed K2CoIr crystal.

Structure (POSCAR):
```
K2CoIr
1.0
2.7732 -5.3996 0.0000
2.7732 5.3996 0.0000
-0.4553 0.0000 2.7598
K Co Ir
2 1 1
Direct
0.0000 0.5000 0.0000
0.5000 0.0000 0.0000
0.0000 0.0000 0.5000
0.5000 0.5000 0.5000
```

Summary:
Energy above the lowest structure with this stoichiometry ... 0.611 eV/atom
Energy of formation ... 1074 meV per atom
Spin magnetization ... 2.2 μB per formula unit

17.
Density functional theory data (PBE) for a relaxed Co2AgRh crystal.

Structure (POSCAR):
```
Co2AgRh
1.0
1.3443 0.7761 8.7392
-1.3443 0.7761 8.7392
0.0000 -1.5523 8.7392
Co Ag Rh
2 1 1
Direct
0.0000 0.0000 0.0000
0.2617 0.2617 0.2617
0.5064 0.5064 0.5064
0.7455 0.7455 0.7455
```

Summary:
Energy of formation ... 214 meV per atom
Spin magnetization ... 4.2 μB per formula unit

18.
Density functional theory data (PBE) for a relaxed CaLaMn2 crystal.

Structure (POSCAR):
```
CaLaMn2
1.0
-2.2344 2.2344 4.8434
2.2344 -2.2344 4.8434
2.2344 2.2344 -4.8434
Ca La Mn
1 1 2
Direct
0.0000 0.0000 0.0000
0.2500 0.7500 0.5000
0.5000 0.5000 0.0000
0.7500 0.2500 0.5000
```

Summary:
Energy of formation ... 506 meV per atom
Spin magnetization ... 6.3 μB per formula unit

19.
Density functional theory data (PBE) for a relaxed NbVSi4 crystal.

Structure (POSCAR):
```
NbVSi4
1.0
4.3291 -1.6122 0.0000
4.3291 1.6122 0.0000
-2.3836 0.0000 5.9785
Nb V Si
1 1 4
Direct
0.0000 0.0000 0.0000
0.0000 0.0000 0.5000
0.3332 0.3332 0.6569
0.3353 0.3353 0.1797
0.6647 0.6647 0.8203
0.6668 0.6668 0.3431
```

Summary:
ΔE_f (raw) ... -0.4165 eV/atom
Energy above the lowest structure with this stoichiometry ... 0.081 eV/atom
Spin magnetization ... 0.0 μB per formula unit

20.
Density functional theory data (PBE) for a relaxed Tb3NdHg2 crystal.

Structure (POSCAR):
```
Tb3NdHg2
1.0
5.1439 0.0000 0.0000
0.0000 9.3536 0.0000
0.0000 0.0000 7.2031
Tb Nd Hg
6 2 4
Direct
0.0000 0.0573 0.0000
0.0000 0.3220 0.3475
0.0000 0.6780 0.8475
0.0000 0.9427 0.5000
0.5000 0.1717 0.6833
0.5000 0.8283 0.1833
0.5000 0.4426 0.0297
0.5000 0.5574 0.5297
0.0000 0.3499 0.7725
0.0000 0.6501 0.2725
0.5000 0.1461 0.2569
0.5000 0.8539 0.7569
```

Summary:
Energy above the lowest structure with this stoichiometry ... 0.000 eV/atom
Energy of formation ... -346 meV per atom
Spin magnetization ... 0.0 μB per formula unit